1.
This record from Alexandria via LeMat-Bulk describes a crystal of CaCoRu2 relaxed with PBEsol. The functional is SCAN.

Calculated values
crystal system	cubic
total energy	-23.53	eV per atom
energy relative to the elements	624	meV/atom

Structure (CIF):
```
data_CaCoRu2
_chemical_formula_sum 'Ca4 Co4 Ru8'
_cell_length_a 6.172
_cell_length_b 6.172
_cell_length_c 6.172
_cell_angle_alpha 90.00
_cell_angle_beta 90.00
_cell_angle_gamma 90.00
_space_group_name_H-M_alt 'F m -3 m'
_space_group_IT_number 225
_space_group_name_Hall '-F 4 2 3'
loop_
_atom_site_label
_atom_site_fract_x
_atom_site_fract_y
_atom_site_fract_z
Ca1 0.000 0.000 0.000
Co1 0.000 0.000 0.500
Ru1 0.250 0.250 0.250
```

---

2.
This record from Alexandria via LeMat-Bulk describes a crystal of CaCo2Ru relaxed with PBEsol. The functional is SCAN.

Calculated values
crystal system	tetragonal
total energy	-19.46	eV per atom
energy relative to the elements	310	meV/atom

Structure (CIF):
```
data_CaCo2Ru
_chemical_formula_sum 'Ca1 Co2 Ru1'
_cell_length_a 3.005
_cell_length_b 3.005
_cell_length_c 6.672
_cell_angle_alpha 90.00
_cell_angle_beta 90.00
_cell_angle_gamma 90.00
_space_group_name_H-M_alt 'P 4/m m m'
_space_group_IT_number 123
_space_group_name_Hall '-P 4 2'
loop_
_atom_site_label
_atom_site_fract_x
_atom_site_fract_y
_atom_site_fract_z
Ca1 0.000 0.000 0.000
Co1 0.500 0.500 0.314
Ru1 0.000 0.000 0.500
```